# PuCoB2O6

A relaxed structure of PuCoB2O6 (GGA+U, Alexandria via LeMat-Bulk).

The structure in POSCAR format:
```
PuCoB2O6
1.0
-0.682 -2.803 3.935
-0.122 -4.856 -0.455
4.961 -2.755 1.921
O Pu Co B
6 1 1 2
direct
0.524 0.260 0.260 O
0.956 0.524 0.260 O
0.044 0.476 0.740 O
0.476 0.740 0.740 O
0.740 0.044 0.740 O
0.260 0.956 0.260 O
0.000 0.000 0.000 Pu
0.500 0.500 0.500 Co
0.755 0.755 0.734 B
0.245 0.245 0.266 B
```

Summary:
The value obtained for the final energy is -8.567 eV per atom.